(1)
A plane-wave DFT calculation with PBE-GGA was carried out for crystalline Ni2SbRu at its relaxed geometry.

Lattice parameters (Å, degrees): 7.9153 7.9153 7.9153 21.85 21.85 21.85
Closest atoms and distances in Å follow each position.
Element x y z (fractional)
Ni (0.0000, 0.0000, 0.0000)  3 Ni 2.50, 3 Sb 2.60
Ni (0.2558, 0.2558, 0.2558)  3 Ni 2.50, 3 Ru 2.57
Sb (0.7504, 0.7504, 0.7504)  3 Ni 2.60, 3 Ru 2.71
Ru (0.5071, 0.5071, 0.5071)  3 Ni 2.57, 3 Sb 2.71

Values from the calculation:
Total DFT energy (no corrections) (eV per atom): -5.82
E_form (uncorrected) (eV/atom): 0.4189

---

(2)
A plane-wave DFT calculation with PBE-GGA was carried out for crystalline Ta2CS2 at its relaxed geometry.

Lattice parameters (Å, degrees): 3.2893 3.2893 9.9475 100.74 100.74 60.01
Closest atoms and distances in Å follow each position.
Element x y z (fractional)
Ta (0.2126, 0.2126, 0.1221)  3 C 2.24, 3 S 2.50
Ta (0.7874, 0.7874, 0.8779)  3 C 2.24, 3 S 2.50
C (0.5000, 0.5000, 0.0000)  6 Ta 2.24
S (0.0579, 0.0579, 0.7106)  3 Ta 2.50
S (0.9421, 0.9421, 0.2894)  3 Ta 2.50

Values from the calculation:
Total DFT energy (no corrections) (eV per atom): -9.17
Energy above the lowest structure with this stoichiometry (meV/atom): 4
E_form (uncorrected) (eV/atom): -0.9312

---

(3)
A plane-wave DFT calculation with PBE-GGA was carried out for crystalline Na5InS4 at its relaxed geometry.

Lattice parameters (Å, degrees): 8.7547 8.7547 8.7547 152.65 129.19 58.66
Closest atoms and distances in Å follow each position.
Element x y z (fractional)
Na (0.0000, 0.0000, 0.0000)  4 S 2.84
Na (0.0930, 0.3256, 0.7674)  4 S 2.66-2.90
Na (0.4419, 0.6744, 0.7674)  4 S 2.66-2.90
Na (0.5581, 0.3256, 0.2326)  4 S 2.66-2.90
Na (0.9070, 0.6744, 0.2326)  4 S 2.66-2.90
In (0.5000, 0.0000, 0.5000)  6 S 2.75-2.87
S (0.2588, 0.5000, 0.7588)  4 Na 2.66-2.84, 2 In 2.75
S (0.3118, 0.8118, 0.5000)  6 Na 2.72-2.90, 1 In 2.87
S (0.6882, 0.1882, 0.5000)  6 Na 2.72-2.90, 1 In 2.87
S (0.7412, 0.5000, 0.2412)  4 Na 2.66-2.84, 2 In 2.75

Values from the calculation:
Total DFT energy (no corrections) (eV per atom): -3.48
Energy above the lowest structure with this stoichiometry (meV/atom): 124
E_form (uncorrected) (eV/atom): -0.8954

---

(4)
A plane-wave DFT calculation with PBE-GGA was carried out for crystalline LiMg2Ni2 at its relaxed geometry.

Lattice parameters (Å, degrees): 7.7168 7.7168 7.7168 154.49 154.49 36.39
Closest atoms and distances in Å follow each position.
Element x y z (fractional)
Li (0.0000, 0.0000, 0.0000)  8 Mg 2.95
Mg (0.3840, 0.3840, 0.0000)  4 Ni 2.60
Mg (0.6160, 0.6160, 0.0000)  4 Ni 2.60
Ni (0.2500, 0.7500, 0.5000)  4 Ni 2.41, 4 Mg 2.60
Ni (0.7500, 0.2500, 0.5000)  4 Ni 2.41, 4 Mg 2.60

Values from the calculation:
ΔH_f (0 K) (eV per formula unit): 0.5
Total DFT energy (no corrections) (eV per atom): -3.23
Energy above the lowest structure with this stoichiometry (meV/atom): 171

---

(5)
A plane-wave DFT calculation with PBE-GGA was carried out for crystalline In12Ga6Pb at its relaxed geometry.

Lattice parameters (Å, degrees): 9.3597 9.3597 9.3597 114.40 114.40 114.40
Closest atoms and distances in Å follow each position.
Element x y z (fractional)
In (0.0127, 0.7377, 0.7930)  2 Ga 3.05-3.17, 5 In 3.08-3.25, 1 Pb 3.28
In (0.2070, 0.9873, 0.2623)  2 Ga 3.05-3.17, 5 In 3.08-3.25, 1 Pb 3.28
In (0.2623, 0.2070, 0.9873)  2 Ga 3.05-3.17, 5 In 3.08-3.25, 1 Pb 3.28
In (0.2786, 0.6999, 0.3268)  5 Ga 3.05-3.30, 3 In 3.15-3.25
In (0.3001, 0.6732, 0.7214)  5 Ga 3.05-3.30, 3 In 3.15-3.25
In (0.3268, 0.2786, 0.6999)  5 Ga 3.05-3.30, 3 In 3.15-3.25
In (0.6732, 0.7214, 0.3001)  5 Ga 3.05-3.30, 3 In 3.15-3.25
In (0.6999, 0.3268, 0.2786)  5 Ga 3.05-3.30, 3 In 3.15-3.25
In (0.7214, 0.3001, 0.6732)  5 Ga 3.05-3.30, 3 In 3.15-3.25
In (0.7377, 0.7930, 0.0127)  2 Ga 3.05-3.17, 5 In 3.08-3.25, 1 Pb 3.28
In (0.7930, 0.0127, 0.7377)  2 Ga 3.05-3.17, 5 In 3.08-3.25, 1 Pb 3.28
In (0.9873, 0.2623, 0.2070)  2 Ga 3.05-3.17, 5 In 3.08-3.25, 1 Pb 3.28
Ga (0.1073, 0.8343, 0.5527)  2 Ga 2.72, 1 In 3.05
Ga (0.1657, 0.4473, 0.8927)  2 Ga 2.72, 1 In 3.05
Ga (0.4473, 0.8927, 0.1657)  2 Ga 2.72, 1 In 3.05
Ga (0.5527, 0.1073, 0.8343)  2 Ga 2.72, 1 In 3.05
Ga (0.8343, 0.5527, 0.1073)  2 Ga 2.72, 1 In 3.05
Ga (0.8927, 0.1657, 0.4473)  2 Ga 2.72, 1 In 3.05
Pb (0.5000, 0.5000, 0.5000)  12 In 3.28-3.65

Values from the calculation:
ΔH_f (0 K) (eV per formula unit): 0.8
Total DFT energy (no corrections) (eV per atom): -2.84
Energy above the lowest structure with this stoichiometry (meV/atom): 0

---

(6)
A plane-wave DFT calculation with PBE-GGA was carried out for crystalline Cs2PdAu2 at its relaxed geometry.

Lattice parameters (Å, degrees): 7.3651 7.3651 5.6550 90.00 90.00 90.00
Closest atoms and distances in Å follow each position.
Element x y z (fractional)
Cs (0.1765, 0.3235, 0.0000)  6 Au 3.39-3.69, 1 Cs 3.68
Cs (0.3235, 0.8235, 0.0000)  6 Au 3.39-3.69, 1 Cs 3.68
Cs (0.6765, 0.1765, 0.0000)  6 Au 3.39-3.69, 1 Cs 3.68
Cs (0.8235, 0.6765, 0.0000)  6 Au 3.39-3.69, 1 Cs 3.68
Pd (0.0000, 0.0000, 0.5000)  4 Au 2.83
Pd (0.5000, 0.5000, 0.5000)  4 Au 2.83
Au (0.1433, 0.6433, 0.5000)  2 Pd 2.83, 1 Au 2.98
Au (0.3567, 0.1433, 0.5000)  2 Pd 2.83, 1 Au 2.98
Au (0.6433, 0.8567, 0.5000)  2 Pd 2.83, 1 Au 2.98
Au (0.8567, 0.3567, 0.5000)  2 Pd 2.83, 1 Au 2.98

Values from the calculation:
ΔH_f (0 K) (eV per formula unit): -0.3
Total DFT energy (no corrections) (eV per atom): -2.74
Energy above the lowest structure with this stoichiometry (meV/atom): 129

---

(7)
A plane-wave DFT calculation with PBE-GGA was carried out for crystalline La8Tc2Ni at its relaxed geometry.

Lattice parameters (Å, degrees): 7.7041 7.7041 6.6082 101.13 101.13 70.90
Closest atoms and distances in Å follow each position.
Element x y z (fractional)
La (0.0878, 0.0878, 0.2789)  2 Tc 3.10-3.27
La (0.1656, 0.5797, 0.2070)  1 Tc 2.73, 1 Ni 2.87
La (0.3379, 0.3379, 0.7097)  1 Tc 2.51, 1 Ni 2.72
La (0.4203, 0.8344, 0.7930)  1 Tc 2.73, 1 Ni 2.87
La (0.5797, 0.1656, 0.2070)  1 Tc 2.73, 1 Ni 2.87
La (0.6621, 0.6621, 0.2903)  1 Tc 2.51, 1 Ni 2.72
La (0.8344, 0.4203, 0.7930)  1 Tc 2.73, 1 Ni 2.87
La (0.9122, 0.9122, 0.7211)  2 Tc 3.10-3.27
Tc (0.1797, 0.1797, 0.8823)  3 La 2.51-2.73
Tc (0.8203, 0.8203, 0.1177)  3 La 2.51-2.73
Ni (0.5000, 0.5000, 0.5000)  6 La 2.72-2.87

Values from the calculation:
ΔH_f (0 K) (eV per formula unit): -0.4
Total DFT energy (no corrections) (eV per atom): -6.03

---

(8)
A plane-wave DFT calculation with PBE-GGA was carried out for crystalline Sm3Ga2Ru2 at its relaxed geometry.

Lattice parameters (Å, degrees): 5.6517 7.8356 13.9975 90.00 90.00 90.00
Closest atoms and distances in Å follow each position.
Element x y z (fractional)
Sm (0.1219, 0.2392, 0.2500)  3 Ga 3.04-3.12, 4 Ru 3.06-3.20
Sm (0.1219, 0.2608, 0.7500)  3 Ga 3.04-3.12, 4 Ru 3.06-3.20
Sm (0.3463, 0.5984, 0.0954)  4 Ru 2.93-3.10, 4 Ga 3.13-3.28
Sm (0.3463, 0.5984, 0.4046)  4 Ru 2.93-3.10, 4 Ga 3.13-3.28
Sm (0.3463, 0.9016, 0.5954)  4 Ru 2.93-3.10, 4 Ga 3.13-3.28
Sm (0.3463, 0.9016, 0.9046)  4 Ru 2.93-3.10, 4 Ga 3.13-3.28
Sm (0.6537, 0.0984, 0.0954)  4 Ru 2.93-3.10, 4 Ga 3.13-3.28
Sm (0.6537, 0.0984, 0.4046)  4 Ru 2.93-3.10, 4 Ga 3.13-3.28
Sm (0.6537, 0.4016, 0.5954)  4 Ru 2.93-3.10, 4 Ga 3.13-3.28
Sm (0.6537, 0.4016, 0.9046)  4 Ru 2.93-3.10, 4 Ga 3.13-3.28
Sm (0.8781, 0.7392, 0.2500)  3 Ga 3.04-3.12, 4 Ru 3.06-3.20
Sm (0.8781, 0.7608, 0.7500)  3 Ga 3.04-3.12, 4 Ru 3.06-3.20
Ga (0.1283, 0.2500, 0.0000)  4 Ru 2.58-2.64
Ga (0.1283, 0.2500, 0.5000)  4 Ru 2.58-2.64
Ga (0.3710, 0.6050, 0.7500)  2 Ru 2.59
Ga (0.3710, 0.8950, 0.2500)  2 Ru 2.59
Ga (0.6290, 0.1050, 0.7500)  2 Ru 2.59
Ga (0.6290, 0.3950, 0.2500)  2 Ru 2.59
Ga (0.8717, 0.7500, 0.0000)  4 Ru 2.58-2.64
Ga (0.8717, 0.7500, 0.5000)  4 Ru 2.58-2.64
Ru (0.1442, 0.5333, 0.5940)  3 Ga 2.58-2.64
Ru (0.1442, 0.5333, 0.9060)  3 Ga 2.58-2.64
Ru (0.1442, 0.9667, 0.0940)  3 Ga 2.58-2.64
Ru (0.1442, 0.9667, 0.4060)  3 Ga 2.58-2.64
Ru (0.8558, 0.0333, 0.5940)  3 Ga 2.58-2.64
Ru (0.8558, 0.0333, 0.9060)  3 Ga 2.58-2.64
Ru (0.8558, 0.4667, 0.0940)  3 Ga 2.58-2.64
Ru (0.8558, 0.4667, 0.4060)  3 Ga 2.58-2.64

Values from the calculation:
ΔH_f (0 K) (eV per formula unit): -3.5
Total DFT energy (no corrections) (eV per atom): -6.04

---

(9)
A plane-wave DFT calculation with PBE-GGA was carried out for crystalline Be3CrCu at its relaxed geometry.

Lattice parameters (Å, degrees): 3.8567 3.8567 3.8567 90.00 90.00 90.00
Closest atoms and distances in Å follow each position.
Element x y z (fractional)
Be (0.0000, 0.0000, 0.5000)  2 Cu 1.93
Be (0.0000, 0.5000, 0.0000)  2 Cu 1.93
Be (0.5000, 0.0000, 0.0000)  2 Cu 1.93
Cr (0.5000, 0.5000, 0.5000)  12 Be 2.73
Cu (0.0000, 0.0000, 0.0000)  6 Be 1.93

Values from the calculation:
ΔH_f (0 K) (eV per formula unit): 4.2
Total DFT energy (no corrections) (eV per atom): -4.14

---

(10)
A plane-wave DFT calculation with PBE-GGA was carried out for crystalline NbBrN2O at its relaxed geometry.

Lattice parameters (Å, degrees): 4.0412 4.0412 3.7387 90.00 90.00 90.00
Closest atoms and distances in Å follow each position.
Element x y z (fractional)
Nb (0.0000, 0.0000, 0.0000)  8 N 2.75, 4 O 2.86
Br (0.5000, 0.5000, 0.5000)  2 O 1.87, 4 N 2.02
N (0.0000, 0.5000, 0.5000)  2 Br 2.02
N (0.5000, 0.0000, 0.5000)  2 Br 2.02
O (0.5000, 0.5000, 0.0000)  2 Br 1.87

Values from the calculation:
Total DFT energy (no corrections) (eV per atom): -5.00
E_form (uncorrected) (eV/atom): 1.6663

---

(11)
A plane-wave DFT calculation with PBE-GGA was carried out for crystalline Pm3Pd4Pb2 at its relaxed geometry.

Lattice parameters (Å, degrees): 5.3838 5.3838 9.6268 92.04 92.04 49.64
Closest atoms and distances in Å follow each position.
Element x y z (fractional)
Pm (0.0000, 0.0000, 0.0000)  6 Pd 3.06-3.08, 4 Pb 3.38
Pm (0.3601, 0.3601, 0.3853)  4 Pd 2.86-3.03
Pm (0.6399, 0.6399, 0.6147)  4 Pd 2.86-3.03
Pd (0.0670, 0.0670, 0.3803)  1 Pd 2.70, 1 Pm 2.86, 2 Pb 2.91
Pd (0.3060, 0.3060, 0.0830)  3 Pb 2.91-3.01, 4 Pm 2.94-3.08, 2 Pd 2.95
Pd (0.6940, 0.6940, 0.9170)  3 Pb 2.91-3.01, 4 Pm 2.94-3.08, 2 Pd 2.95
Pd (0.9330, 0.9330, 0.6197)  1 Pd 2.70, 1 Pm 2.86, 2 Pb 2.91
Pb (0.3457, 0.3457, 0.7855)  5 Pd 2.91-3.01
Pb (0.6543, 0.6543, 0.2145)  5 Pd 2.91-3.01

Values from the calculation:
ΔH_f (0 K) (eV per formula unit): -6.0
Total DFT energy (no corrections) (eV per atom): -5.38

---

(12)
A plane-wave DFT calculation with PBE-GGA was carried out for crystalline CsVZn2Cl8 at its relaxed geometry.

Lattice parameters (Å, degrees): 11.0499 11.0499 11.0499 32.94 32.94 32.94
Closest atoms and distances in Å follow each position.
Element x y z (fractional)
Cs (0.0000, 0.0000, 0.0000)  6 Cl 3.72
V (0.5000, 0.5000, 0.5000)  6 Cl 2.40
Zn (0.2338, 0.2338, 0.2338)  4 Cl 2.23-2.33
Zn (0.7662, 0.7662, 0.7662)  4 Cl 2.23-2.33
Cl (0.1505, 0.7721, 0.4437)  1 Zn 2.33, 1 V 2.40
Cl (0.2279, 0.5563, 0.8495)  1 Zn 2.33, 1 V 2.40
Cl (0.3050, 0.3050, 0.3050)  1 Zn 2.23
Cl (0.4437, 0.1505, 0.7721)  1 Zn 2.33, 1 V 2.40
Cl (0.5563, 0.8495, 0.2279)  1 Zn 2.33, 1 V 2.40
Cl (0.6950, 0.6950, 0.6950)  1 Zn 2.23
Cl (0.7721, 0.4437, 0.1505)  1 Zn 2.33, 1 V 2.40
Cl (0.8495, 0.2279, 0.5563)  1 Zn 2.33, 1 V 2.40

Values from the calculation:
Total DFT energy (no corrections) (eV per atom): -3.58
E_form (uncorrected) (eV/atom): -1.3006

---

(13)
A plane-wave DFT calculation with PBE-GGA was carried out for crystalline CaPtS at its relaxed geometry.

Lattice parameters (Å, degrees): 4.1765 3.9183 4.1916 90.00 117.78 90.00
Closest atoms and distances in Å follow each position.
Element x y z (fractional)
Ca (0.0000, 0.0000, 0.0000)  6 S 2.95-3.24, 6 Pt 3.01-3.19
Pt (0.6830, 0.5000, 0.3210)  2 S 2.35
S (0.3112, 0.5000, 0.6947)  2 Pt 2.35

Values from the calculation:
Total DFT energy (no corrections) (eV per atom): -5.20
E_form (uncorrected) (eV/atom): -1.1401